# BaCrP2 | Alexandria | PBE | relaxed
# Offset from the most stable computed form: 0.41 eV/f.u.
# Calculated density: 4.80 g cm⁻³
# Spin magnetization: 0.665 μB per atom
# Formation energy: -0.49 eV per atom
# Crystal system: monoclinic
data_BaCrP2
_symmetry_space_group_name_H-M 'C 1 2/m 1'
_symmetry_Int_Tables_number 12
_symmetry_space_group_name_Hall '-C 2y'
_cell_length_a 7.120
_cell_length_b 3.877
_cell_length_c 6.634
_cell_angle_alpha 90.00
_cell_angle_beta 108.33
_cell_angle_gamma 90.00
loop_
_atom_site_label
_atom_site_type_symbol
_atom_site_fract_x
_atom_site_fract_y
_atom_site_fract_z
_atom_site_occupancy
Ba1 Ba 0.000 0.000 0.000 1
Cr1 Cr 0.000 0.500 0.500 1
P1 P 0.222 0.000 0.649 1